Computed, not measured: a geometry-optimized NpNbCoO6 structure at the GGA+U level of DFT.

Results
electronic total energy: -8.66 eV/atom

abc: 5.4764 5.4764 8.8765
angles: 90.00 90.00 120.00
Closest atoms and distances in Å follow each position.
Sites, in units of the cell vectors:
Nb1 0.3333 0.6667 0.7500  6 O 2.03
Nb2 0.6667 0.3333 0.2500  6 O 2.03
O1 0.6487 0.9852 0.8689  1 Nb 2.03, 1 Np 2.14, 1 Co 2.21
O2 0.3513 0.0148 0.1311  1 Nb 2.03, 1 Np 2.14, 1 Co 2.21
O3 0.6635 0.6487 0.1311  1 Nb 2.03, 1 Np 2.14, 1 Co 2.21
O4 0.0148 0.3513 0.6311  1 Nb 2.03, 1 Np 2.14, 1 Co 2.21
O5 0.6487 0.6635 0.6311  1 Nb 2.03, 1 Np 2.14, 1 Co 2.21
O6 0.3365 0.9852 0.6311  1 Nb 2.03, 1 Np 2.14, 1 Co 2.21
O7 0.6635 0.0148 0.3689  1 Nb 2.03, 1 Np 2.14, 1 Co 2.21
O8 0.9852 0.6487 0.3689  1 Nb 2.03, 1 Np 2.14, 1 Co 2.21
O9 0.3365 0.3513 0.8689  1 Nb 2.03, 1 Np 2.14, 1 Co 2.21
O10 0.9852 0.3365 0.1311  1 Nb 2.03, 1 Np 2.14, 1 Co 2.21
O11 0.0148 0.6635 0.8689  1 Nb 2.03, 1 Np 2.14, 1 Co 2.21
O12 0.3513 0.3365 0.3689  1 Nb 2.03, 1 Np 2.14, 1 Co 2.21
Np1 0.6667 0.3333 0.7500  6 O 2.14
Np2 0.3333 0.6667 0.2500  6 O 2.14
Co1 0.0000 0.0000 0.5000  6 O 2.21
Co2 0.0000 0.0000 0.0000  6 O 2.21